Material: Co2SnSb2
Method: DFT, GGA-PBE
State: optimized geometry

a = 5.801 Å, b = 5.801 Å, c = 5.801 Å
α = 133.27°, β = 133.27°, γ = 68.23°
Fractional positions:
Co  0.120  0.120  0.000
Co  0.880  0.880  0.000
Sn  0.500  0.500  0.000
Sb  0.250  0.750  0.500
Sb  0.750  0.250  0.500

Results
Total magnetic moment: 1.39 μB/f.u.
Uncorrected energy: -24.8 eV for the cell shown
Polymorph energy (0 for the lowest one): 144 meV/atom